This record from Alexandria describes a crystal of LiCaZn4 relaxed with PBEsol. The functional is SCAN.

The calculation puts the energy of formation from the pure elements at -276.7 meV per atom. For the density, the calculation gives 4.97 g/cm³. The density of states at the Fermi level comes out at 2.8 states/eV per cell. As for the crystal system: cubic. As for the total magnetization: 0.000 μB/f.u.

Structure (POSCAR):
```
LiCaZn4
1.0
0.000 3.723 3.723
3.723 0.000 3.723
3.723 3.723 0.000
Li Ca Zn
1 1 4
Direct
0.000 0.000 0.000
0.750 0.750 0.750
0.374 0.374 0.374
0.374 0.374 0.878
0.374 0.878 0.374
0.878 0.374 0.374
```